SrLaAsI | Alexandria | GGA-PBE | optimized geometry; crystal system = trigonal; uncorrected energy = -4.56 eV/atom; total moment = 0.000 μB/f.u.; formation energy from raw total energies = -1.36 eV/atom
1.0
4.438 0.000 0.000
-2.219 3.844 0.000
0.000 0.000 24.222
Sr La As I
3 3 3 3
Cartesian
0.000 0.000 0.000
0.000 2.562 16.148
2.219 1.281 8.074
0.000 0.000 19.380
0.000 2.562 11.306
2.219 1.281 3.232
0.000 0.000 9.770
0.000 2.562 1.696
2.219 1.281 17.843
0.000 0.000 5.558
0.000 2.562 21.706
2.219 1.281 13.632

CeSm2TmTl4 | Alexandria | GGA-PBE | optimized geometry; crystal system = trigonal; ΔH_f (0 K) = -306.2 meV per atom; uncorrected energy = -3.97 eV/atom; total moment = 1.048 μB/f.u.
1.0
2.716 1.568 8.953
-2.716 1.568 8.953
0.000 -3.137 8.953
Ce Sm Tm Tl
1 2 1 4
Cartesian
0.000 0.000 0.000
0.000 0.000 6.673
0.000 0.000 20.188
0.000 0.000 13.430
0.000 0.000 3.390
0.000 0.000 10.114
0.000 0.000 16.746
0.000 0.000 23.471